(1)
# MgCoCl

A relaxed structure of MgCoCl (PBE, the Alexandria database).

Relative energy among the computed polymorphs = 862 meV/atom
VASP energy = -9.92 eV per formula unit
Volume = 109.2 Å³ per cell
E_form (uncorrected) = 0.2075 eV per atom
SG = P4/nmm, No. 129
Density = 3.610 Mg/m³

Cell: 4.443 4.443 5.532 Å, 90.00 90.00 90.00°
Last column: magnetic moment on the atom in μB.
Fractional coordinates of all 6 atoms:
Co 0.000 0.500 0.339  1.49
Co 0.500 0.000 0.661  1.47
Cl 0.000 0.000 0.500  0.09
Cl 0.500 0.500 0.500  0.09
Mg 0.500 0.000 0.123  -0.01
Mg 0.000 0.500 0.877  -0.01

(2)
# MgCoCl2

A relaxed structure of MgCoCl2 (PBE, the Alexandria database).

Relative energy among the computed polymorphs = 162 meV/atom
VASP energy = -14.23 eV per formula unit
Volume = 85.4 Å³ per cell
E_form (uncorrected) = -0.4586 eV per atom
SG = Cmm2, No. 35
Density = 2.998 Mg/m³

Cell: 3.202 3.202 8.616 Å, 90.00 90.00 104.84°
Last column: magnetic moment on the atom in μB.
Fractional coordinates of all 4 atoms:
Co 0.000 0.000 0.495  1.87
Mg 0.500 0.500 0.739  -0.01
Cl 0.000 0.000 0.911  -0.01
Cl 0.500 0.500 0.355  0.15

(3)
# MgCoCl2

A relaxed structure of MgCoCl2 (PBE, the Alexandria database).

Relative energy among the computed polymorphs = 531 meV/atom
VASP energy = -12.75 eV per formula unit
Volume = 66.4 Å³ per cell
E_form (uncorrected) = -0.0897 eV per atom
SG = Fm-3m, No. 225
Density = 3.854 Mg/m³

Cell: 4.546 4.546 4.546 Å, 60.00 60.00 60.00°
Last column: magnetic moment on the atom in μB.
Fractional coordinates of all 4 atoms:
Cl 0.750 0.750 0.750  0.03
Cl 0.250 0.250 0.250  0.03
Co 0.500 0.500 0.500  1.33
Mg 0.000 0.000 0.000  -0.04

(4)
# MgCoCl

A relaxed structure of MgCoCl (PBE, the Alexandria database).

Relative energy among the computed polymorphs = 530 meV/atom
VASP energy = -10.92 eV per formula unit
Volume = 240.8 Å³ per cell
E_form (uncorrected) = -0.1238 eV per atom
SG = Pnma, No. 62
Density = 3.274 Mg/m³

Cell: 4.173 3.322 17.371 Å, 90.00 90.00 90.00°
Last column: magnetic moment on the atom in μB.
Fractional coordinates of all 12 atoms:
Co 0.466 0.750 0.773  1.73
Co 0.966 0.750 0.727  1.73
Co 0.034 0.250 0.273  1.73
Co 0.534 0.250 0.227  1.73
Mg 0.439 0.750 0.624  0.00
Mg 0.061 0.250 0.124  0.00
Mg 0.561 0.250 0.376  0.00
Mg 0.939 0.750 0.876  0.00
Cl 0.242 0.750 0.441  0.01
Cl 0.742 0.750 0.059  0.01
Cl 0.758 0.250 0.559  0.01
Cl 0.258 0.250 0.941  0.01